Computed, not measured: a relaxed Ir2OsPt crystal at the GGA-PBEsol level of DFT.

Unit cell a=4.7151 b=4.7151 c=4.7132 alpha=99.39 beta=99.39 gamma=33.43
Positions (direct):
1 Ir 0.2459 0.2459 0.2426
2 Ir 0.7541 0.7541 0.7574
3 Os 0.5000 0.5000 0.0000
4 Pt 0.0000 0.0000 0.5000

SG: C2/m
Crystal system: monoclinic

***

Computed, not measured: a relaxed Ir2OsPt crystal at the GGA-PBEsol level of DFT.

Unit cell a=4.7156 b=4.7156 c=4.7056 alpha=99.47 beta=99.47 gamma=33.52
Positions (direct):
1 Ir 0.0000 0.0000 0.0000
2 Ir 0.7488 0.7488 0.2529
3 Os 0.4942 0.4942 0.4889
4 Pt 0.2463 0.2463 0.7458

SG: Cm
Crystal system: monoclinic

***

Computed, not measured: a relaxed ZnIrOsPt2 crystal at the GGA-PBEsol level of DFT.

Unit cell a=4.4215 b=4.4215 c=4.4570 alpha=90.00 beta=90.00 gamma=90.00
Positions (direct):
1 Zn 0.0000 0.0000 0.0000
2 Ir 0.0000 0.0000 0.5000
3 Os 0.5000 0.5000 0.5000
4 Pt 0.0000 0.5000 0.0000
5 Pt 0.5000 0.0000 0.0000

SG: P4/mmm
Crystal system: tetragonal

***

Computed, not measured: a relaxed Re2IrOs crystal at the GGA-PBEsol level of DFT.

Unit cell a=2.7397 b=4.3522 c=4.7683 alpha=90.00 beta=90.00 gamma=90.00
Positions (direct):
1 Re 0.0000 0.0000 0.0000
2 Re 0.0000 0.5000 0.3315
3 Ir 0.5000 0.5000 0.8376
4 Os 0.5000 0.0000 0.4971

SG: Pmm2
Crystal system: orthorhombic

***

Computed, not measured: a relaxed Re2IrOs crystal at the GGA-PBEsol level of DFT.

Unit cell a=3.8438 b=3.8438 c=3.8518 alpha=90.00 beta=90.00 gamma=90.00
Positions (direct):
1 Re 0.0000 0.5000 0.0000
2 Re 0.5000 0.0000 0.0000
3 Ir 0.0000 0.0000 0.5000
4 Os 0.5000 0.5000 0.5000

SG: P4/mmm
Crystal system: tetragonal

***

Computed, not measured: a relaxed Re2IrOs crystal at the GGA-PBEsol level of DFT.

Unit cell a=3.2477 b=3.2477 c=5.5404 alpha=90.00 beta=90.00 gamma=90.00
Positions (direct):
1 Re 0.0000 0.0000 0.0000
2 Re 0.5000 0.5000 0.2665
3 Ir 0.0000 0.0000 0.5064
4 Os 0.5000 0.5000 0.7456

SG: P4mm
Crystal system: tetragonal

***

Computed, not measured: a relaxed Re2IrOs crystal at the GGA-PBEsol level of DFT.

Unit cell a=4.7057 b=4.7057 c=4.7057 alpha=131.69 beta=131.69 gamma=70.72
Positions (direct):
1 Re 0.2500 0.7500 0.5000
2 Re 0.7500 0.2500 0.5000
3 Ir 0.0000 0.0000 0.0000
4 Os 0.5000 0.5000 0.0000

SG: I4/mmm
Crystal system: tetragonal

***

Computed, not measured: a relaxed ZnRe2IrOs crystal at the GGA-PBEsol level of DFT.

Unit cell a=4.6249 b=4.6249 c=4.4359 alpha=90.00 beta=90.00 gamma=90.00
Positions (direct):
1 Zn 0.0000 0.0000 0.0000
2 Re 0.0000 0.5000 0.5000
3 Re 0.5000 0.0000 0.5000
4 Ir 0.0000 0.0000 0.5000
5 Os 0.5000 0.5000 0.0000

SG: P4/mmm
Crystal system: tetragonal

***

Computed, not measured: a relaxed IrOsRh2 crystal at the GGA-PBEsol level of DFT.

Unit cell a=4.6612 b=4.6612 c=4.6526 alpha=99.41 beta=99.41 gamma=33.41
Positions (direct):
1 Ir 0.0000 0.0000 0.0000
2 Os 0.7470 0.7470 0.2415
3 Rh 0.2491 0.2491 0.7433
4 Rh 0.4959 0.4959 0.4929

SG: Cm
Crystal system: monoclinic

***

Computed, not measured: a relaxed IrOsRh2 crystal at the GGA-PBEsol level of DFT.

Unit cell a=3.7905 b=3.7905 c=3.8153 alpha=90.00 beta=90.00 gamma=90.00
Positions (direct):
1 Ir 0.0000 0.0000 0.0000
2 Os 0.5000 0.5000 0.0000
3 Rh 0.0000 0.5000 0.5000
4 Rh 0.5000 0.0000 0.5000

SG: P4/mmm
Crystal system: tetragonal

***

Computed, not measured: a relaxed IrOs2Rh crystal at the GGA-PBEsol level of DFT.

Unit cell a=4.6914 b=4.6914 c=4.6914 alpha=132.36 beta=132.36 gamma=69.67
Positions (direct):
1 Ir 0.0000 0.0000 0.0000
2 Os 0.2500 0.7500 0.5000
3 Os 0.7500 0.2500 0.5000
4 Rh 0.5000 0.5000 0.0000

SG: I4/mmm
Crystal system: tetragonal

***

Computed, not measured: a relaxed IrOs2Rh crystal at the GGA-PBEsol level of DFT.

Unit cell a=2.6925 b=3.8095 c=5.3983 alpha=90.00 beta=90.00 gamma=90.00
Positions (direct):
1 Ir 0.0000 0.0000 0.0000
2 Os 0.0000 0.0000 0.4966
3 Os 0.5000 0.5000 0.2522
4 Rh 0.5000 0.5000 0.7472

SG: Pmm2
Crystal system: orthorhombic

***

Computed, not measured: a relaxed IrOs2Rh crystal at the GGA-PBEsol level of DFT.

Unit cell a=4.6808 b=4.6808 c=4.6570 alpha=99.53 beta=99.53 gamma=33.42
Positions (direct):
1 Ir 0.0000 0.0000 0.0000
2 Os 0.2513 0.2513 0.7507
3 Os 0.7487 0.7487 0.2493
4 Rh 0.5000 0.5000 0.5000

SG: C2/m
Crystal system: monoclinic

***

Computed, not measured: a relaxed IrOs2Rh crystal at the GGA-PBEsol level of DFT.

Unit cell a=8.9471 b=8.9471 c=8.9471 alpha=17.34 beta=17.34 gamma=17.34
Positions (direct):
1 Ir 0.0000 0.0000 0.0000
2 Os 0.2501 0.2501 0.2501
3 Os 0.5014 0.5014 0.5014
4 Rh 0.7517 0.7517 0.7517

SG: R3m
Crystal system: trigonal

***

Computed, not measured: a relaxed IrOs2Rh crystal at the GGA-PBEsol level of DFT.

Unit cell a=4.6583 b=4.6583 c=4.6583 alpha=131.61 beta=131.61 gamma=70.84
Positions (direct):
1 Ir 0.0000 0.0000 0.0000
2 Os 0.5000 0.5000 0.0000
3 Os 0.7500 0.2500 0.5000
4 Rh 0.2500 0.7500 0.5000

SG: I-4m2
Crystal system: tetragonal

***

Computed, not measured: a relaxed Ir2OsRh crystal at the GGA-PBEsol level of DFT.

Unit cell a=2.6918 b=3.8240 c=5.3877 alpha=90.00 beta=90.00 gamma=90.00
Positions (direct):
1 Ir 0.0000 0.0000 0.0000
2 Ir 0.5000 0.5000 0.2557
3 Os 0.0000 0.0000 0.5009
4 Rh 0.5000 0.5000 0.7495

SG: Pmm2
Crystal system: orthorhombic

***

Computed, not measured: a relaxed IrOsRh2 crystal at the GGA-PBEsol level of DFT.

Unit cell a=2.6538 b=2.6538 c=9.2676 alpha=90.00 beta=90.00 gamma=119.98
Positions (direct):
1 Ir 0.0000 0.0000 0.0000
2 Os 0.0000 0.0000 0.5000
3 Rh 0.5000 0.5000 0.2511
4 Rh 0.5000 0.5000 0.7489

SG: Cmmm
Crystal system: orthorhombic

***

Computed, not measured: a relaxed IrOs2Rh crystal at the GGA-PBEsol level of DFT.

Unit cell a=4.3227 b=4.3227 c=4.3227 alpha=60.00 beta=60.00 gamma=60.00
Positions (direct):
1 Ir 0.0000 0.0000 0.0000
2 Os 0.2500 0.2500 0.2500
3 Os 0.5000 0.5000 0.5000
4 Rh 0.7500 0.7500 0.7500

SG: F-43m
Crystal system: cubic

***

Computed, not measured: a relaxed IrOsRh2 crystal at the GGA-PBEsol level of DFT.

Unit cell a=4.6645 b=4.6645 c=4.6511 alpha=99.46 beta=99.46 gamma=33.38
Positions (direct):
1 Ir 0.0000 0.0000 0.0000
2 Os 0.5000 0.5000 0.5000
3 Rh 0.2492 0.2492 0.7469
4 Rh 0.7508 0.7508 0.2531

SG: C2/m
Crystal system: monoclinic

***

Computed, not measured: a relaxed Ir2OsRh crystal at the GGA-PBEsol level of DFT.

Unit cell a=4.6710 b=4.6710 c=4.6710 alpha=131.86 beta=131.86 gamma=70.45
Positions (direct):
1 Ir 0.2500 0.7500 0.5000
2 Ir 0.7500 0.2500 0.5000
3 Os 0.0000 0.0000 0.0000
4 Rh 0.5000 0.5000 0.0000

SG: I4/mmm
Crystal system: tetragonal

***

Computed, not measured: a relaxed IrOsRh2 crystal at the GGA-PBEsol level of DFT.

Unit cell a=4.6541 b=4.6541 c=4.6541 alpha=131.88 beta=131.88 gamma=70.42
Positions (direct):
1 Ir 0.0000 0.0000 0.0000
2 Os 0.2500 0.7500 0.5000
3 Rh 0.5000 0.5000 0.0000
4 Rh 0.7500 0.2500 0.5000

SG: I-4m2
Crystal system: tetragonal

***

Computed, not measured: a relaxed IrOsRh2 crystal at the GGA-PBEsol level of DFT.

Unit cell a=2.6767 b=3.8219 c=5.3615 alpha=90.00 beta=90.00 gamma=90.00
Positions (direct):
1 Ir 0.0000 0.0000 0.0000
2 Os 0.0000 0.0000 0.5000
3 Rh 0.5000 0.5000 0.2534
4 Rh 0.5000 0.5000 0.7466

SG: Pmmm
Crystal system: orthorhombic

***

Computed, not measured: a relaxed Ir2OsRh crystal at the GGA-PBEsol level of DFT.

Unit cell a=4.6791 b=4.6791 c=4.6677 alpha=99.47 beta=99.47 gamma=33.42
Positions (direct):
1 Ir 0.0000 0.0000 0.0000
2 Ir 0.2502 0.2502 0.7451
3 Os 0.7478 0.7478 0.2441
4 Rh 0.4980 0.4980 0.4942

SG: Cm
Crystal system: monoclinic

***

Computed, not measured: a relaxed IrOsRh2 crystal at the GGA-PBEsol level of DFT.

Unit cell a=8.9446 b=8.9446 c=8.9446 alpha=17.25 beta=17.25 gamma=17.25
Positions (direct):
1 Ir 0.0000 0.0000 0.0000
2 Os 0.5000 0.5000 0.5000
3 Rh 0.2490 0.2490 0.2490
4 Rh 0.7510 0.7510 0.7510

SG: R-3m
Crystal system: trigonal

***

Computed, not measured: a relaxed IrOsRh2 crystal at the GGA-PBEsol level of DFT.

Unit cell a=4.6667 b=4.6667 c=4.6667 alpha=132.12 beta=132.12 gamma=70.04
Positions (direct):
1 Ir 0.0000 0.0000 0.0000
2 Os 0.5000 0.5000 0.0000
3 Rh 0.2500 0.7500 0.5000
4 Rh 0.7500 0.2500 0.5000

SG: I4/mmm
Crystal system: tetragonal

***

Computed, not measured: a relaxed IrOsRh2 crystal at the GGA-PBEsol level of DFT.

Unit cell a=4.6685 b=4.6685 c=2.6761 alpha=90.00 beta=90.00 gamma=109.91
Positions (direct):
1 Ir 0.0000 0.0000 0.0000
2 Os 0.5000 0.5000 0.0000
3 Rh 0.0000 0.5000 0.5000
4 Rh 0.5000 0.0000 0.5000

SG: Cmmm
Crystal system: orthorhombic

***

Computed, not measured: a relaxed Ir2OsRh crystal at the GGA-PBEsol level of DFT.

Unit cell a=4.6692 b=4.6692 c=2.6964 alpha=90.00 beta=90.00 gamma=109.41
Positions (direct):
1 Ir 0.0000 0.5000 0.0000
2 Ir 0.5000 0.0000 0.0000
3 Os 0.0000 0.0000 0.5000
4 Rh 0.5000 0.5000 0.5000

SG: Cmmm
Crystal system: orthorhombic

***

Computed, not measured: a relaxed IrOs2Rh crystal at the GGA-PBEsol level of DFT.

Unit cell a=2.6937 b=2.6937 c=7.6382 alpha=90.00 beta=90.00 gamma=90.00
Positions (direct):
1 Ir 0.0000 0.0000 0.0000
2 Os 0.0000 0.0000 0.4960
3 Os 0.5000 0.5000 0.2479
4 Rh 0.5000 0.5000 0.7437

SG: P4mm
Crystal system: tetragonal

***

Computed, not measured: a relaxed IrOsRh2 crystal at the GGA-PBEsol level of DFT.

Unit cell a=2.6853 b=3.8024 c=5.3719 alpha=90.00 beta=90.00 gamma=90.00
Positions (direct):
1 Ir 0.0000 0.0000 0.0000
2 Os 0.5000 0.5000 0.2444
3 Rh 0.0000 0.0000 0.4941
4 Rh 0.5000 0.5000 0.7444

SG: Pmm2
Crystal system: orthorhombic

***

Computed, not measured: a relaxed IrOs2Rh crystal at the GGA-PBEsol level of DFT.

Unit cell a=2.6815 b=3.8493 c=5.3587 alpha=90.00 beta=90.00 gamma=90.00
Positions (direct):
1 Ir 0.0000 0.0000 0.0000
2 Os 0.5000 0.5000 0.2512
3 Os 0.5000 0.5000 0.7488
4 Rh 0.0000 0.0000 0.5000

SG: Pmmm
Crystal system: orthorhombic

***

Computed, not measured: a relaxed Ir2OsRh crystal at the GGA-PBEsol level of DFT.

Unit cell a=3.8172 b=3.8172 c=3.8035 alpha=90.00 beta=90.00 gamma=90.00
Positions (direct):
1 Ir 0.0000 0.5000 0.0000
2 Ir 0.5000 0.0000 0.0000
3 Os 0.0000 0.0000 0.5000
4 Rh 0.5000 0.5000 0.5000

SG: P4/mmm
Crystal system: tetragonal

***

Number 1: total energy -38.6 eV per formula unit, volume 14.22 A^3/atom. Number 2: total energy -38.5 eV per formula unit, volume 14.23 A^3/atom. Number 3: total energy -28.7 eV per formula unit, volume 17.43 A^3/atom. Number 4: total energy -49.5 eV per formula unit, volume 14.21 A^3/atom. Number 5: total energy -49.0 eV per formula unit, volume 14.23 A^3/atom. Number 6: total energy -47.1 eV per formula unit, volume 14.61 A^3/atom. Number 7: total energy -49.0 eV per formula unit, volume 14.23 A^3/atom. Number 8: total energy -38.6 eV per formula unit, volume 18.98 A^3/atom. Number 9: total energy -38.3 eV per formula unit, volume 13.71 A^3/atom. Number 10: total energy -38.1 eV per formula unit, volume 13.70 A^3/atom. Number 11: total energy -42.1 eV per formula unit, volume 13.83 A^3/atom. Number 12: total energy -42.2 eV per formula unit, volume 13.84 A^3/atom. Number 13: total energy -42.2 eV per formula unit, volume 13.84 A^3/atom. Number 14: total energy -42.2 eV per formula unit, volume 13.87 A^3/atom. Number 15: total energy -42.1 eV per formula unit, volume 13.84 A^3/atom. Number 16: total energy -39.9 eV per formula unit, volume 13.86 A^3/atom. Number 17: total energy -36.8 eV per formula unit, volume 14.13 A^3/atom. Number 18: total energy -39.7 eV per formula unit, volume 14.28 A^3/atom. Number 19: total energy -38.3 eV per formula unit, volume 13.71 A^3/atom. Number 20: total energy -40.0 eV per formula unit, volume 13.85 A^3/atom. Number 21: total energy -38.2 eV per formula unit, volume 13.69 A^3/atom. Number 22: total energy -38.2 eV per formula unit, volume 13.71 A^3/atom. Number 23: total energy -40.0 eV per formula unit, volume 13.86 A^3/atom. Number 24: total energy -38.3 eV per formula unit, volume 13.73 A^3/atom. Number 25: total energy -38.2 eV per formula unit, volume 13.71 A^3/atom. Number 26: total energy -38.1 eV per formula unit, volume 13.71 A^3/atom. Number 27: total energy -40.0 eV per formula unit, volume 13.86 A^3/atom. Number 28: total energy -42.2 eV per formula unit, volume 13.86 A^3/atom. Number 29: total energy -38.3 eV per formula unit, volume 13.71 A^3/atom. Number 30: total energy -42.1 eV per formula unit, volume 13.83 A^3/atom. Number 31: total energy -39.9 eV per formula unit, volume 13.86 A^3/atom.